Entry 1:
The following is a PBE-GGA calculation of a relaxed LiTlW2 crystal, from the Alexandria database.

## Properties
* N(E_F): 0.620 states/eV/atom
* symmetry: P4mm (99)
* crystal system: tetragonal
* energy relative to the lowest polymorph listed for this composition: 0 meV/atom
* energy of formation: 0.429 eV per atom

Structure (POSCAR):
```
LiTlW2
1.0
-1.4391 -3.0167 -0.0903
1.8692 -0.8123 -2.6506
4.4573 -2.2409 3.8299
Li Tl W
1 1 2
Direct
0.0000 0.0000 0.4986 Li
0.5000 0.5000 0.7206 Tl
0.0000 0.0000 0.0510 W
0.5000 0.5000 0.2299 W
```



Entry 2:
The following is a PBE-GGA calculation of a relaxed FeCuSe4 crystal, from the Alexandria database.

## Properties
* formation energy without anion corrections: 0.958 eV per atom
* N(E_F): 1.165 states/eV/atom
* symmetry: F-43m (216)
* crystal system: cubic

Structure (POSCAR):
```
FeCuSe4
1.0
-0.7294 -0.9991 5.4689
-4.3601 2.2602 2.7057
-4.2294 -3.2572 1.7153
Fe Cu Se
1 1 4
Direct
0.0000 0.0000 0.0000 Fe
0.7500 0.7500 0.7500 Cu
0.8744 0.3752 0.3752 Se
0.3752 0.3752 0.8744 Se
0.3752 0.8744 0.3752 Se
0.3752 0.3752 0.3752 Se
```



Entry 3:
The following is a PBE-GGA calculation of a relaxed Mn2RuPb crystal, from the Alexandria database.

## Properties
* N(E_F): 1.114 states/eV/atom
* symmetry: I4/mmm (139)
* crystal system: tetragonal
* energy of formation: 0.430 eV per atom

Structure (POSCAR):
```
Mn2RuPb
1.0
-4.5425 0.8747 1.4603
-2.8643 -0.4203 -3.8925
3.3450 -3.0263 1.7847
Mn Pb Ru
2 1 1
Direct
0.0001 0.0001 0.0000 Mn
0.4999 0.4999 0.0000 Mn
0.7500 0.2500 0.5000 Pb
0.2500 0.7500 0.5000 Ru
```



Entry 4:
The following is a PBE-GGA calculation of a relaxed TaCu2Pt crystal, from the Alexandria database.

## Properties
* N(E_F): 0.997 states/eV/atom
* symmetry: Imm2 (44)
* crystal system: orthorhombic
* energy relative to the lowest polymorph listed for this composition: 0 meV/atom
* energy of formation: -0.225 eV per atom

Structure (POSCAR):
```
TaCu2Pt
1.0
4.6636 -0.0346 -0.1093
1.3830 4.4540 0.1093
-2.9488 -2.3116 2.7791
Cu Pt Ta
2 1 1
Direct
0.0006 0.0006 0.0000 Cu
0.2494 0.7494 0.5000 Cu
0.4998 0.4998 0.0000 Pt
0.7502 0.2502 0.5000 Ta
```



Entry 5:
The following is a PBE-GGA calculation of a relaxed Cs2PdO3 crystal, from the Alexandria database.

## Properties
* formation energy without anion corrections: -0.817 eV per atom
* symmetry: P6_3/mmc (194)
* crystal system: hexagonal
* energy relative to the lowest polymorph listed for this composition: 0 meV/atom

Structure (POSCAR):
```
Cs2PdO3
1.0
6.8778 0.0000 0.0000
-3.4389 5.9564 0.0000
0.0000 0.0000 8.5626
Cs Pd O
4 2 6
Direct
0.0000 0.0000 0.0000 Cs
0.6667 0.3333 0.2500 Cs
0.0000 0.0000 0.5000 Cs
0.3333 0.6667 0.7500 Cs
0.3333 0.6667 0.2500 Pd
0.6667 0.3333 0.7500 Pd
0.1793 0.3586 0.2500 O
0.6414 0.8207 0.2500 O
0.1793 0.8207 0.2500 O
0.8207 0.6414 0.7500 O
0.8207 0.1793 0.7500 O
0.3586 0.1793 0.7500 O
```



Entry 6:
The following is a PBE-GGA calculation of a relaxed Sr2LiGaPt2 crystal, from the Alexandria database.

## Properties
* N(E_F): 0.373 states/eV/atom
* symmetry: Ibam (72)
* crystal system: orthorhombic
* energy of formation: -0.749 eV per atom

Structure (POSCAR):
```
Sr2LiGaPt2
1.0
-3.2087 -5.1848 -0.3659
1.9225 -1.5992 5.8012
-5.1602 6.7819 0.1401
Sr Li Ga Pt
4 2 2 4
Direct
0.4060 0.1691 0.3382 Sr
0.5940 0.8309 0.6618 Sr
0.0678 0.3309 0.6618 Sr
0.9322 0.6691 0.3382 Sr
0.0000 0.7500 0.0000 Li
0.0000 0.2500 0.0000 Li
0.5000 0.7500 0.0000 Ga
0.5000 0.2500 0.0000 Ga
0.8315 0.1023 0.2046 Pt
0.3731 0.6023 0.2046 Pt
0.6269 0.3977 0.7954 Pt
0.1685 0.8977 0.7954 Pt
```



Entry 7:
The following is a PBE-GGA calculation of a relaxed MnOs6Ru2 crystal, from the Alexandria database.

## Properties
* N(E_F): 0.735 states/eV/atom
* symmetry: C2/c (15)
* crystal system: monoclinic
* energy of formation: 0.363 eV per atom

Structure (POSCAR):
```
MnOs6Ru2
1.0
5.0801 0.0564 -0.6663
-1.0162 7.1227 -0.2972
0.0425 0.2748 7.1956
Mn Os Ru
2 12 4
Direct
0.2500 0.8902 0.1098 Mn
0.7500 0.1098 0.8902 Mn
0.4961 0.3266 0.7343 Os
0.0039 0.2657 0.6734 Os
0.5039 0.6734 0.2657 Os
0.9961 0.7343 0.3266 Os
0.7410 0.9357 0.5377 Os
0.7590 0.4623 0.0643 Os
0.2590 0.0643 0.4623 Os
0.2410 0.5377 0.9357 Os
0.3354 0.2112 0.0855 Os
0.1646 0.9145 0.7888 Os
0.6646 0.7888 0.9145 Os
0.8354 0.0855 0.2112 Os
0.1396 0.3986 0.3310 Ru
0.3604 0.6690 0.6014 Ru
0.8604 0.6014 0.6690 Ru
0.6396 0.3310 0.3986 Ru
```



Entry 8:
The following is a PBE-GGA calculation of a relaxed HoSeF crystal, from the Alexandria database.

## Properties
* formation energy without anion corrections: -2.794 eV per atom
* N(E_F): 0.000 states/eV/atom
* symmetry: Pnma (62)
* crystal system: orthorhombic

Structure (POSCAR):
```
HoSeF
1.0
-1.2083 0.8786 -5.4953
0.0453 -5.7160 -0.9238
-7.4874 -0.3172 1.5956
Ho Se F
4 4 4
Direct
0.2500 0.8671 0.8230 Ho
0.7500 0.3671 0.6770 Ho
0.7500 0.1329 0.1770 Ho
0.2500 0.6329 0.3230 Ho
0.7500 0.6184 0.3273 Se
0.2500 0.1184 0.1727 Se
0.7500 0.8816 0.8273 Se
0.2500 0.3816 0.6727 Se
0.2500 0.8691 0.5410 F
0.2500 0.6309 0.0410 F
0.7500 0.1309 0.4590 F
0.7500 0.3691 0.9590 F
```



Entry 9:
The following is a PBE-GGA calculation of a relaxed Zn4Au crystal, from the Alexandria database.

## Properties
* N(E_F): 0.366 states/eV/atom
* symmetry: I4/mmm (139)
* crystal system: tetragonal
* energy relative to the lowest polymorph listed for this composition: 152 meV/atom
* energy of formation: 0.056 eV per atom

Structure (POSCAR):
```
Zn4Au
1.0
5.6336 -3.9726 1.9914
5.7191 0.4150 4.3133
-7.0103 0.8199 -1.2913
Zn Au
4 1
Direct
0.2500 0.7500 0.5000 Zn
0.5965 0.5965 0.0000 Zn
0.4035 0.4035 0.0000 Zn
0.7500 0.2500 0.5000 Zn
0.0000 0.0000 0.0000 Au
```



Entry 10:
The following is a PBE-GGA calculation of a relaxed BaHfI2O crystal, from the Alexandria database.

## Properties
* formation energy without anion corrections: -0.045 eV per atom
* N(E_F): 1.087 states/eV/atom
* symmetry: P4/mmm (123)
* crystal system: tetragonal
* energy relative to the lowest polymorph listed for this composition: 1405 meV/atom

Structure (POSCAR):
```
BaHfI2O
1.0
-1.3395 -6.0468 2.5616
6.5076 -1.5730 -0.3101
0.5780 1.5912 4.0584
I Hf Ba O
2 1 1 1
Direct
0.0000 0.5000 0.0000 I
0.5000 0.0000 0.0000 I
0.5000 0.5000 0.5000 Hf
0.0000 0.0000 0.0000 Ba
0.0000 0.0000 0.5000 O
```



Entry 11:
The following is a PBE-GGA calculation of a relaxed Ba6ZnGa2 crystal, from the Alexandria database.

## Properties
* N(E_F): 1.365 states/eV/atom
* symmetry: Immm (71)
* crystal system: orthorhombic
* energy of formation: -0.155 eV per atom

Structure (POSCAR):
```
Ba6ZnGa2
1.0
-8.0193 -5.6001 -2.1914
8.1687 -4.0392 -4.1747
1.6753 0.4283 9.8733
Ba Zn Ga
12 2 4
Direct
0.5703 0.7440 0.8263 Ba
0.4297 0.2560 0.1737 Ba
0.0822 0.2560 0.8263 Ba
0.9178 0.7440 0.1737 Ba
0.7880 0.7507 0.5387 Ba
0.2120 0.2493 0.4613 Ba
0.2120 0.7507 0.9627 Ba
0.7880 0.2493 0.0373 Ba
0.7091 0.3828 0.6737 Ba
0.2909 0.6172 0.3263 Ba
0.2909 0.9647 0.6737 Ba
0.7091 0.0353 0.3263 Ba
0.0000 0.5000 0.5000 Zn
0.0000 0.0000 0.0000 Zn
0.5000 0.3935 0.8935 Ga
0.5000 0.6065 0.1065 Ga
0.6239 0.0000 0.6239 Ga
0.3761 0.0000 0.3761 Ga
```



Entry 12:
The following is a PBE-GGA calculation of a relaxed BaPa2NiN4 crystal, from the Alexandria database.

## Properties
* formation energy without anion corrections: -1.266 eV per atom
* N(E_F): 0.040 states/eV/atom
* symmetry: Cmcm (63)
* crystal system: orthorhombic

Structure (POSCAR):
```
BaPa2NiN4
1.0
-2.3990 -0.4278 2.6551
5.2404 -2.8484 1.8300
3.6639 9.8913 4.9041
Ba Pa Ni N
2 4 2 8
Direct
0.0996 0.1993 0.7500 Ba
0.9004 0.8007 0.2500 Ba
0.3655 0.7310 0.5616 Pa
0.6345 0.2690 0.0616 Pa
0.6345 0.2690 0.4384 Pa
0.3655 0.7310 0.9384 Pa
0.8336 0.6671 0.7500 Ni
0.1664 0.3329 0.2500 Ni
0.2548 0.5095 0.0985 N
0.7452 0.4905 0.5985 N
0.7452 0.4905 0.9015 N
0.2548 0.5095 0.4015 N
0.0000 0.0000 0.5000 N
0.0000 0.0000 0.0000 N
0.4192 0.8384 0.7500 N
0.5808 0.1616 0.2500 N
```